# 1
DFT (PBE-GGA) results for a relaxed LaMoCl2 crystal.

Geometry as POSCAR:
```
LaMoCl2
1.0
3.5065 0.0000 0.0000
0.0000 3.5065 0.0000
0.0000 0.0000 10.0695
Mo Cl La
1 2 1
Cartesian
1.7532 1.7532 7.5521
0.0000 0.0000 0.8715
0.0000 0.0000 4.1633
1.7532 1.7532 2.5174
```

* final energy: -5.099 eV/atom
* D(E_F): 1.666 states/eV per cell
* total magnetization: 5.0 Bohr magnetons per cell
* raw formation energy: -0.2361 eV per atom

---

# 2
DFT (PBE-GGA) results for a relaxed La2MoCl crystal.

Geometry as POSCAR:
```
La2MoCl
1.0
3.3846 0.0097 0.0000
-1.4788 3.0444 0.0000
0.0000 0.0000 10.1339
Cl La Mo
1 2 1
Cartesian
0.9529 1.5271 7.4253
0.0000 0.0000 9.7414
0.9529 1.5271 3.0631
0.0000 0.0000 5.1048
```

* final energy: -5.465 eV/atom
* D(E_F): 5.482 states/eV per cell
* total magnetization: 0.5 Bohr magnetons per cell
* raw formation energy: 0.1678 eV per atom